A relaxed structure of Sc2MnB. Source: the Alexandria database, functional PBE.

Values from the calculation:
Its space-group type is No. 122. As for the crystal system: tetragonal. As for the volume: 18.6 Å³ per atom. For the density of states at the Fermi level, the calculation gives 4.22 states/eV per cell. The value obtained for the raw total energy is -56.1 eV/cell.

abc: 6.472 6.472 6.472
angles: 95.23 95.23 144.86
Positions (direct):
Sc: 0.375 0.218 0.344
Sc: 0.782 0.125 0.156
Sc: 0.875 0.032 0.656
Sc: 0.968 0.625 0.844
Mn: 0.250 0.750 0.500
Mn: 0.500 0.500 0.000
B: 0.000 0.000 0.000
B: 0.750 0.250 0.500